An optimized crystal structure of MgNbSiSn2. Source: Alexandria via LeMat-Bulk, functional PBE.

a = 5.1977 Å, b = 4.7895 Å, c = 5.1977 Å
α = 90.00°, β = 90.00°, γ = 90.00°
Closest atoms and distances in Å follow each position.
Sites, in units of the cell vectors:
Sn 0.0000 0.0000 0.5000  2 Si 2.60
Sn 0.5000 0.0000 0.0000  2 Si 2.60
Si 0.0000 0.0000 0.0000  2 Nb 2.39, 4 Sn 2.60
Nb 0.0000 0.5000 0.0000  2 Si 2.39
Mg 0.5000 0.5000 0.5000  8 Sn 3.53, 4 Nb 3.68

## Properties
- uncorrected formation energy (eV per atom) = 0.6674
- relative energy among the computed polymorphs (eV/atom) = 0.000

An optimized crystal structure of MgNbSiSn2. Source: Alexandria via LeMat-Bulk, functional PBE.

a = 5.1994 Å, b = 4.7722 Å, c = 5.1994 Å
α = 90.00°, β = 90.00°, γ = 90.00°
Closest atoms and distances in Å follow each position.
Sites, in units of the cell vectors:
Mg 0.0000 0.5000 0.0000  2 Si 2.39
Si 0.0000 0.0000 0.0000  2 Mg 2.39, 4 Sn 2.60
Nb 0.5000 0.5000 0.5000  8 Sn 3.53, 4 Mg 3.68
Sn 0.5000 0.0000 0.0000  2 Si 2.60
Sn 0.0000 0.0000 0.5000  2 Si 2.60

## Properties
- uncorrected formation energy (eV per atom) = 0.9411
- relative energy among the computed polymorphs (eV/atom) = 0.274

An optimized crystal structure of MgNbSi2Te. Source: Alexandria via LeMat-Bulk, functional PBE.

a = 4.9588 Å, b = 5.3722 Å, c = 4.9588 Å
α = 90.00°, β = 90.00°, γ = 90.00°
Closest atoms and distances in Å follow each position.
Sites, in units of the cell vectors:
Si 0.5000 0.0000 0.0000  2 Nb 2.48
Si 0.0000 0.0000 0.5000  2 Nb 2.48
Te 0.0000 0.5000 0.0000  2 Nb 2.69
Mg 0.5000 0.5000 0.5000  4 Te 3.51, 8 Si 3.66
Nb 0.0000 0.0000 0.0000  4 Si 2.48, 2 Te 2.69

## Properties
- uncorrected formation energy (eV per atom) = 0.4595

An optimized crystal structure of MgNb2Sn2. Source: Alexandria via LeMat-Bulk, functional PBE.

a = 4.0640 Å, b = 4.0640 Å, c = 7.4017 Å
α = 74.07°, β = 74.07°, γ = 90.00°
Closest atoms and distances in Å follow each position.
Sites, in units of the cell vectors:
Sn 0.6014 0.6014 0.7971  1 Sn 2.77, 4 Nb 2.87
Sn 0.3986 0.3986 0.2029  1 Sn 2.77, 4 Nb 2.87
Mg 0.0000 0.0000 0.0000  8 Sn 3.19
Nb 0.7500 0.2500 0.5000  4 Sn 2.87, 4 Nb 2.87
Nb 0.2500 0.7500 0.5000  4 Sn 2.87, 4 Nb 2.87

## Properties
- relative energy among the computed polymorphs (eV/atom) = 0.100
- E_form (meV per atom) = 146

An optimized crystal structure of Mg3NbSn. Source: Alexandria via LeMat-Bulk, functional PBE.

a = 5.3547 Å, b = 5.3547 Å, c = 5.3547 Å
α = 90.00°, β = 90.00°, γ = 90.00°
Closest atoms and distances in Å follow each position.
Sites, in units of the cell vectors:
Mg 0.0000 0.0000 0.5000  2 Nb 2.68
Mg 0.0000 0.5000 0.0000  2 Nb 2.68
Mg 0.5000 0.0000 0.0000  2 Nb 2.68
Sn 0.5000 0.5000 0.5000  12 Mg 3.79
Nb 0.0000 0.0000 0.0000  6 Mg 2.68

## Properties
- relative energy among the computed polymorphs (eV/atom) = 0.000
- E_form (meV per atom) = 1046

An optimized crystal structure of MgNbSn2. Source: Alexandria via LeMat-Bulk, functional PBE.

a = 4.3466 Å, b = 4.3466 Å, c = 6.4291 Å
α = 70.24°, β = 70.24°, γ = 60.00°
Closest atoms and distances in Å follow each position.
Sites, in units of the cell vectors:
Mg 0.4945 0.4945 0.5164  6 Sn 2.90-3.02, 1 Nb 3.11
Sn 0.0794 0.0794 0.7617  3 Nb 2.85, 3 Mg 2.90, 1 Sn 3.14
Sn 0.2563 0.2563 0.2312  3 Nb 2.89, 3 Mg 3.02, 1 Sn 3.14
Nb 0.6698 0.6698 0.9907  6 Sn 2.85-2.89, 1 Mg 3.11

## Properties
- E_form (meV per atom) = 152

An optimized crystal structure of MgNbSn2. Source: Alexandria via LeMat-Bulk, functional PBE.

a = 3.6888 Å, b = 3.6888 Å, c = 6.2517 Å
α = 90.00°, β = 90.00°, γ = 90.00°
Closest atoms and distances in Å follow each position.
Sites, in units of the cell vectors:
Mg 0.5000 0.5000 0.5000  8 Sn 3.07, 2 Nb 3.13
Sn 0.0000 0.0000 0.7590  4 Nb 3.01, 2 Sn 3.01-3.24, 4 Mg 3.07
Sn 0.0000 0.0000 0.2410  4 Nb 3.01, 2 Sn 3.01-3.24, 4 Mg 3.07
Nb 0.5000 0.5000 0.0000  8 Sn 3.01, 2 Mg 3.13

## Properties
- E_form (meV per atom) = -57

An optimized crystal structure of Mg6NbSn. Source: Alexandria via LeMat-Bulk, functional PBE.

a = 6.3038 Å, b = 6.3038 Å, c = 5.1081 Å
α = 90.00°, β = 90.00°, γ = 122.72°
Closest atoms and distances in Å follow each position.
Sites, in units of the cell vectors:
Mg 0.1811 0.3424 0.0000  7 Mg 2.88-3.21, 2 Nb 3.10, 2 Sn 3.16
Mg 0.3284 0.1682 0.5000  8 Mg 3.00-3.14, 2 Nb 3.13-3.17, 2 Sn 3.14-3.16
Mg 0.1746 0.8254 0.0000  10 Mg 3.02-3.24, 2 Nb 3.07
Mg 0.6671 0.3329 0.0000  10 Mg 3.02-3.21, 2 Sn 3.13
Mg 0.8318 0.6716 0.5000  8 Mg 3.00-3.14, 2 Nb 3.13-3.17, 2 Sn 3.14-3.16
Mg 0.6576 0.8189 0.0000  7 Mg 2.88-3.21, 2 Nb 3.10, 2 Sn 3.16
Nb 0.3288 0.6712 0.5000  2 Sn 3.02, 10 Mg 3.07-3.17
Sn 0.8306 0.1694 0.5000  2 Nb 3.02, 10 Mg 3.13-3.16

## Properties
- E_form (meV per atom) = 65